No. 1
The following is a DFT calculation (PBE) of TaTiNi4 after structural relaxation.

Structure (POSCAR):
```
TaTiNi4
1.0
0.0000 3.3704 3.3704
3.3704 0.0000 3.3704
3.3704 3.3704 0.0000
Ta Ti Ni
1 1 4
Direct
0.0000 0.0000 0.0000 Ta
0.2500 0.2500 0.2500 Ti
0.1255 0.6248 0.6248 Ni
0.6248 0.1255 0.6248 Ni
0.6248 0.6248 0.1255 Ni
0.6248 0.6248 0.6248 Ni
```

Calculated values
- Relative energy among the computed polymorphs: 0.00 kJ/mol of atoms
- DOS at the Fermi energy: 8.1 states/eV/cell
- ρ: 10053 kg/m3

No. 2
The following is a DFT calculation (PBE) of TaTiNi3 after structural relaxation.

Structure (POSCAR):
```
TaTiNi3
1.0
2.3956 -6.4155 0.0000
2.3956 6.4155 0.0000
0.0000 0.0000 4.5305
Ta Ti Ni
2 2 6
Direct
0.1993 0.8007 0.7500 Ta
0.8007 0.1993 0.2500 Ta
0.4341 0.5659 0.2500 Ti
0.5659 0.4341 0.7500 Ti
0.0000 0.0000 0.0000 Ni
0.0000 0.0000 0.5000 Ni
0.1178 0.3857 0.7500 Ni
0.3857 0.1178 0.2500 Ni
0.6143 0.8822 0.7500 Ni
0.8822 0.6143 0.2500 Ni
```

Calculated values
- Relative energy among the computed polymorphs: 19.79 kJ/mol of atoms
- DOS at the Fermi energy: 10.1 states/eV/cell
- ρ: 9656 kg/m3

Number 1: VASP energy -7.436 eV per atom. Number 2: VASP energy -7.539 eV per atom.